18
Lattice="5.615 0.000 0.000 0.000 7.402 0.000 -2.497 0.000 9.480" Properties=species:S:1:pos:R:3 comment="RbCu3GeS4 (PBE, optimized geometry)" dft_energy_ha_per_atom=-0.15237 rho_g_cm3=4.02 pbc="T T T"
Rb 0.215 1.851 3.472
Rb 2.903 5.552 6.008
Cu 1.604 4.176 0.224
Cu 1.604 6.927 0.224
Cu 1.710 5.552 2.417
Cu 1.408 1.851 7.063
Cu 1.514 0.475 9.256
Cu 1.514 3.226 9.256
Ge -1.236 1.851 7.427
Ge 4.354 5.552 2.053
S -2.283 1.851 9.464
S -0.002 5.552 3.851
S 0.055 3.739 7.517
S 0.055 7.364 7.517
S 3.063 0.038 1.964
S 3.063 3.663 1.964
S 3.120 1.851 5.629
S 5.401 5.552 0.016



9
Lattice="5.994 0.000 0.000 0.000 5.994 0.000 0.000 0.000 5.994" Properties=species:S:1:pos:R:3 comment="RbCu3GeS4 (PBE, optimized geometry)" dft_energy_ha_per_atom=-0.14709 rho_g_cm3=3.68 pbc="T T T"
Rb 0.000 0.000 0.000
Cu 0.000 2.997 2.997
Cu 2.997 0.000 2.997
Cu 2.997 2.997 0.000
Ge 2.997 2.997 2.997
S 1.727 1.727 1.727
S 1.727 4.267 4.267
S 4.267 1.727 4.267
S 4.267 4.267 1.727



12
Lattice="1.806 -7.462 0.000 1.806 7.462 0.000 0.000 0.000 10.072" Properties=species:S:1:pos:R:3 comment="RbCuGeS3 (PBE, optimized geometry)" dft_energy_ha_per_atom=-0.14899 rho_g_cm3=3.89 pbc="T T T"
Rb 1.806 3.841 7.554
Rb 1.806 -3.841 2.518
Cu 1.806 6.835 2.518
Cu 1.806 -6.835 7.554
Ge 1.806 0.000 0.000
Ge 1.806 0.000 5.036
S 1.806 5.802 0.481
S 1.806 5.802 4.555
S 1.806 0.785 2.518
S 1.806 -0.785 7.554
S 1.806 -5.802 5.518
S 1.806 -5.802 9.591



12
Lattice="8.714 0.000 0.000 0.000 3.765 0.000 -3.615 0.000 8.440" Properties=species:S:1:pos:R:3 comment="RbCuGeS3 (PBE, optimized geometry)" dft_energy_ha_per_atom=-0.15148 rho_g_cm3=3.81 pbc="T T T"
Rb 0.976 0.941 2.211
Rb 4.122 2.824 6.229
Cu -1.539 0.941 4.964
Cu 6.638 2.824 3.476
Ge -0.220 2.824 7.271
Ge 5.319 0.941 1.169
S -1.872 0.941 7.263
S -0.145 2.824 4.816
S 3.594 2.824 1.216
S 1.505 0.941 7.225
S 5.244 0.941 3.625
S 6.971 2.824 1.178



12
Lattice="1.810 -7.683 0.000 1.810 7.683 0.000 0.000 0.000 10.385" Properties=species:S:1:pos:R:3 comment="RbCuGeSeS2 (PBE, optimized geometry)" dft_energy_ha_per_atom=-0.14456 rho_g_cm3=4.19 pbc="T T T"
Rb 1.810 3.847 7.788
Rb 1.810 -3.847 2.596
Cu 1.810 6.924 2.596
Cu 1.810 -6.924 7.788
Ge 1.810 0.000 0.000
Ge 1.810 0.000 5.192
Se 1.810 0.883 2.596
Se 1.810 -0.883 7.788
S 1.810 6.013 0.526
S 1.810 6.013 4.666
S 1.810 -6.013 5.718
S 1.810 -6.013 9.859



12
Lattice="1.863 -7.606 0.000 1.863 7.606 0.000 0.000 0.000 10.437" Properties=species:S:1:pos:R:3 comment="RbCuGeSe2S (PBE, optimized geometry)" dft_energy_ha_per_atom=-0.14050 rho_g_cm3=4.62 pbc="T T T"
Rb 1.863 4.082 7.827
Rb 1.863 -4.082 2.609
Cu 1.863 6.934 2.609
Cu 1.863 -6.934 7.827
Ge 1.863 0.000 0.000
Ge 1.863 0.000 5.218
Se 1.863 5.799 0.465
Se 1.863 5.799 4.753
Se 1.863 -5.799 5.684
Se 1.863 -5.799 9.971
S 1.863 0.649 2.609
S 1.863 -0.649 7.827



12
Lattice="1.901 -7.997 0.000 1.901 7.997 0.000 0.000 0.000 10.980" Properties=species:S:1:pos:R:3 comment="RbCuGeTe2S (PBE, optimized geometry)" dft_energy_ha_per_atom=-0.13170 rho_g_cm3=5.06 pbc="T T T"
Rb 1.901 4.488 8.235
Rb 1.901 -4.488 2.745
Cu 1.901 7.447 2.745
Cu 1.901 -7.447 8.235
Ge 1.901 0.000 0.000
Ge 1.901 0.000 5.490
Te 1.901 5.976 0.555
Te 1.901 5.976 4.935
Te 1.901 -5.976 6.045
Te 1.901 -5.976 10.425
S 1.901 0.696 2.745
S 1.901 -0.696 8.235



12
Lattice="1.875 -7.717 0.000 1.875 7.717 0.000 0.000 0.000 10.582" Properties=species:S:1:pos:R:3 comment="RbCuGeSe3 (PBE, optimized geometry)" dft_energy_ha_per_atom=-0.13630 rho_g_cm3=4.97 pbc="T T T"
Rb 1.875 3.980 7.937
Rb 1.875 -3.980 2.646
Cu 1.875 6.895 2.646
Cu 1.875 -6.895 7.937
Ge 1.875 0.000 0.000
Ge 1.875 0.000 5.291
Se 1.875 5.895 0.453
Se 1.875 5.895 4.838
Se 1.875 0.731 2.646
Se 1.875 -0.731 7.937
Se 1.875 -5.895 5.744
Se 1.875 -5.895 10.129